Version a
VASP calculation (PBE) on a relaxed structure of TiPIrPtCl.

**Fermi-level density of states**: 0.717 states/eV per atom
**Theoretical density**: 7.92 g/cm³

Cell lengths 3.599, 3.600, 9.584 Å; angles 79.89, 79.38, 60.02 degrees
Space group P1 (No. 1)
Symmetry-distinct sites (fractional):
Ti  0.000  0.000  0.000 x1
P  0.181  0.203  0.443 x1
Ir  0.878  0.895  0.355 x1
Pt  0.617  0.624  0.145 x1
Cl  0.392  0.384  0.830 x1

=====

Version b
VASP calculation (PBE) on a relaxed structure of TiPIrPtCl.

**Fermi-level density of states**: 0.219 states/eV per atom
**Theoretical density**: 5.82 g/cm³

Cell lengths 3.676, 5.397, 7.227 Å; angles 89.82, 86.46, 89.99 degrees
Space group P1 (No. 1)
Symmetry-distinct sites (fractional):
Ti  0.000  0.000  0.000 x1
P  0.977  0.536  0.191 x1
Ir  0.478  0.787  0.181 x1
Pt  0.478  0.272  0.182 x1
Cl  0.035  0.002  0.694 x1

=====

Version c
VASP calculation (PBE) on a relaxed structure of TiPIrPtCl.

**Fermi-level density of states**: 0.598 states/eV per atom
**Theoretical density**: 9.52 g/cm³

Cell lengths 20.864, 2.910, 2.910 Å; angles 90.00, 97.80, 90.00 degrees
Space group Cm (No. 8)
Symmetry-distinct sites (fractional):
Ti  0.000  0.000  0.000 x2
P  0.247  0.000  0.254 x2
Ir  0.309  0.500  0.814 x2
Pt  0.413  0.000  0.416 x2
Cl  0.074  0.500  0.572 x2

=====

Result of the stability comparison: version b is the least stable of them.

=====

Version a
VASP calculation (PBE) on a relaxed structure of RbPIrCl2.

**Fermi-level density of states**: 2.587 states/eV per atom
**Theoretical density**: 2.59 g/cm³

Cell lengths 6.033, 6.033, 6.681 Å; angles 90.00, 90.00, 90.00 degrees
Space group P4/mmm (No. 123)
Symmetry-distinct sites (fractional):
Rb  0.000  0.000  0.000 x1
P  0.000  0.000  0.500 x1
Ir  0.500  0.500  0.500 x1
Cl  0.000  0.500  0.000 x2

=====

Version b
VASP calculation (PBE) on a relaxed structure of RbPIrCl2.

**Fermi-level density of states**: 0.443 states/eV per atom
**Theoretical density**: 5.01 g/cm³

Cell lengths 5.339, 5.339, 4.416 Å; angles 90.00, 90.00, 90.00 degrees
Space group P4/mmm (No. 123)
Symmetry-distinct sites (fractional):
Rb  0.000  0.000  0.000 x1
P  0.500  0.500  0.000 x1
Ir  0.500  0.500  0.500 x1
Cl  0.000  0.500  0.500 x2

=====

Result of the stability comparison: version a is the least stable of them.

=====

Version a
VASP calculation (PBE) on a relaxed structure of ReP2IrCl.

**Fermi-level density of states**: 0.663 states/eV per atom
**Theoretical density**: 7.82 g/cm³

Cell lengths 4.619, 4.619, 4.737 Å; angles 90.00, 90.00, 90.00 degrees
Space group P4/mmm (No. 123)
Symmetry-distinct sites (fractional):
Re  0.000  0.000  0.000 x1
P  0.000  0.500  0.500 x2
Ir  0.500  0.500  0.500 x1
Cl  0.500  0.500  0.000 x1

=====

Version b
VASP calculation (PBE) on a relaxed structure of ReP2IrCl.

**Fermi-level density of states**: 0.976 states/eV per atom
**Theoretical density**: 7.96 g/cm³

Cell lengths 4.587, 4.587, 4.717 Å; angles 90.00, 90.00, 90.00 degrees
Space group P4/mmm (No. 123)
Symmetry-distinct sites (fractional):
Re  0.000  0.000  0.000 x1
P  0.000  0.500  0.000 x2
Ir  0.500  0.500  0.500 x1
Cl  0.000  0.000  0.500 x1

=====

Result of the stability comparison: version a is the least stable of them.

=====

Version a
VASP calculation (PBE) on a relaxed structure of RePIrCl2.

**Fermi-level density of states**: 0.454 states/eV per atom
**Theoretical density**: 7.35 g/cm³

Cell lengths 4.828, 4.828, 4.654 Å; angles 90.00, 90.00, 90.00 degrees
Space group P4/mmm (No. 123)
Symmetry-distinct sites (fractional):
Re  0.000  0.000  0.000 x1
P  0.500  0.500  0.000 x1
Ir  0.500  0.500  0.500 x1
Cl  0.000  0.500  0.500 x2

=====

Version b
VASP calculation (PBE) on a relaxed structure of RePIrCl2.

**Fermi-level density of states**: 1.841 states/eV per atom
**Theoretical density**: 7.81 g/cm³

Cell lengths 4.630, 4.630, 4.766 Å; angles 90.00, 90.00, 90.00 degrees
Space group P4/mmm (No. 123)
Symmetry-distinct sites (fractional):
Re  0.000  0.000  0.000 x1
P  0.000  0.000  0.500 x1
Ir  0.500  0.500  0.500 x1
Cl  0.000  0.500  0.000 x2

=====

Result of the stability comparison: version b is the least stable of them.

=====

Version a
VASP calculation (PBE) on a relaxed structure of PIrRhCl2.

**Fermi-level density of states**: 1.671 states/eV per atom
**Theoretical density**: 6.04 g/cm³

Cell lengths 4.964, 4.964, 4.430 Å; angles 90.00, 90.00, 90.00 degrees
Space group P4/mmm (No. 123)
Symmetry-distinct sites (fractional):
P  0.000  0.000  0.000 x1
Ir  0.000  0.000  0.500 x1
Rh  0.500  0.500  0.000 x1
Cl  0.000  0.500  0.500 x2

=====

Version b
VASP calculation (PBE) on a relaxed structure of PIrRhCl2.

**Fermi-level density of states**: 1.333 states/eV per atom
**Theoretical density**: 6.46 g/cm³

Cell lengths 4.707, 4.707, 4.607 Å; angles 90.00, 90.00, 90.00 degrees
Space group P4/mmm (No. 123)
Symmetry-distinct sites (fractional):
P  0.000  0.000  0.000 x1
Ir  0.500  0.500  0.000 x1
Rh  0.000  0.000  0.500 x1
Cl  0.000  0.500  0.500 x2

=====

Result of the stability comparison: version b is the least stable of them.

=====

Version a
VASP calculation (PBE) on a relaxed structure of P2IrRuCl.

**Fermi-level density of states**: 0.839 states/eV per atom
**Theoretical density**: 6.75 g/cm³

Cell lengths 4.493, 4.493, 4.760 Å; angles 90.00, 90.00, 90.00 degrees
Space group P4/mmm (No. 123)
Symmetry-distinct sites (fractional):
P  0.000  0.500  0.000 x2
Ir  0.000  0.000  0.500 x1
Ru  0.500  0.500  0.000 x1
Cl  0.500  0.500  0.500 x1

=====

Version b
VASP calculation (PBE) on a relaxed structure of P2IrRuCl.

**Fermi-level density of states**: 0.524 states/eV per atom
**Theoretical density**: 6.37 g/cm³

Cell lengths 4.540, 4.540, 4.944 Å; angles 90.00, 90.00, 90.00 degrees
Space group P4/mmm (No. 123)
Symmetry-distinct sites (fractional):
P  0.000  0.500  0.000 x2
Ir  0.000  0.000  0.000 x1
Ru  0.500  0.500  0.500 x1
Cl  0.000  0.000  0.500 x1

=====

Result of the stability comparison: version a is the least stable of them.